[1]
# SrOs3

A relaxed SrOs3 crystal (GGA-PBEsol, the Alexandria database).

The structure in extended XYZ format:
```
4
Lattice="-1.525 0.188 -2.307 1.763 -3.572 -1.457 -4.615 -3.409 2.774" Properties=species:S:1:pos:R:3 pbc="T T T"
Os -3.657 -4.481 0.388
Os -3.526 -1.947 0.508
Os -4.366 -3.225 2.624
Sr -0.520 -2.821 0.114
```

Output
- Fermi-level density of states: 5.0 states/eV/cell
- Mass density: 14.59 g/cm3
- E: -8.75 eV per atom

---

[2]
# CoH4Cl2O2

A relaxed CoH4Cl2O2 crystal (GGA-PBEsol, the Alexandria database).

The structure in extended XYZ format:
```
9
Lattice="3.528 -0.004 -0.004 -0.676 5.463 0.074 -0.676 -0.727 5.415" Properties=species:S:1:pos:R:3 pbc="T T T"
H -0.250 3.984 2.257
H 2.426 3.083 1.214
H -0.250 1.649 4.271
H 2.426 0.749 3.228
Co 0.000 0.000 0.000
O -0.676 0.760 4.132
O -0.676 3.976 1.357
Cl 0.422 3.637 4.216
Cl 1.754 1.095 1.269
```

Output
- Fermi-level density of states: 1.4 states/eV/cell
- Mass density: 2.64 g/cm3
- E: -4.80 eV per atom

---

[3]
# CsMn3I

A relaxed CsMn3I crystal (GGA-PBEsol, the Alexandria database).

The structure in extended XYZ format:
```
5
Lattice="-1.349 2.926 -5.141 -2.957 -4.901 -2.013 -5.124 2.058 2.516" Properties=species:S:1:pos:R:3 pbc="T T T"
I -4.715 0.042 -2.319
Cs 0.000 0.000 0.000
Mn -0.675 1.463 -2.571
Mn -2.562 1.029 1.258
Mn -1.478 -2.450 -1.007
```

Output
- Fermi-level density of states: 7.5 states/eV/cell
- Mass density: 3.16 g/cm3
- E: -4.09 eV per atom
- Formation energy without anion corrections: 2312 meV/atom

---

[4]
# Li2Mn3FeO8

A relaxed Li2Mn3FeO8 crystal (GGA-PBEsol, the Alexandria database).

The structure in extended XYZ format:
```
14
Lattice="-4.623 -2.100 2.717 -2.585 -4.804 -1.844 0.318 -4.883 3.037" Properties=species:S:1:pos:R:3 pbc="T T T"
O -3.968 -6.613 3.773
O -1.578 -5.241 2.402
O -3.032 -7.856 1.677
O -3.892 -3.938 2.252
O -2.938 -5.204 0.116
O -5.086 -8.700 2.886
O -5.303 -6.577 1.530
O -1.778 -3.041 1.009
Mn -3.298 -8.312 3.454
Mn -5.729 -6.943 3.297
Mn -4.727 -8.273 1.053
Li -3.459 -5.917 1.963
Li -6.066 -10.377 3.442
Fe -0.825 -1.411 0.468
```

Output
- Fermi-level density of states: 6.7 states/eV/cell
- Mass density: 4.55 g/cm3
- E: -7.74 eV per atom
- Formation energy without anion corrections: -1732 meV/atom
- Energy above the most stable polymorph in this dataset: 48 meV per atom

---

[5]
# Ba2Sn2Bi

A relaxed Ba2Sn2Bi crystal (GGA-PBEsol, the Alexandria database).

The structure in extended XYZ format:
```
10
Lattice="-4.195 -0.264 -2.935 2.569 -7.354 -3.011 -4.055 -3.935 6.150" Properties=species:S:1:pos:R:3 pbc="T T T"
Sn -0.269 -8.903 1.185
Sn -1.217 -2.386 1.954
Sn 1.103 -5.058 -1.121
Sn -2.589 -6.230 4.260
Ba -4.388 -4.094 2.162
Ba -3.697 -8.348 1.558
Ba -1.293 -7.458 -1.958
Ba -1.984 -3.205 -1.354
Bi -0.743 -5.644 1.570
Bi 0.000 0.000 0.000
```

Output
- Fermi-level density of states: 4.2 states/eV/cell
- Mass density: 6.70 g/cm3
- E: -4.09 eV per atom
- Energy above the most stable polymorph in this dataset: 0 meV per atom

---

[6]
# Co6SbMo

A relaxed Co6SbMo crystal (GGA-PBEsol, the Alexandria database).

The structure in extended XYZ format:
```
32
Lattice="6.210 -0.001 0.000 -2.072 5.854 0.000 0.000 0.000 10.157" Properties=species:S:1:pos:R:3 pbc="T T T"
Co -0.042 4.419 2.609
Co 0.000 0.000 5.078
Co -0.045 2.177 3.852
Co 4.180 1.434 2.609
Co 2.069 2.927 0.000
Co 2.019 0.709 1.313
Co 4.183 3.677 3.852
Co 2.019 0.709 8.844
Co 4.183 3.677 6.304
Co 2.069 2.927 5.078
Co 0.000 0.000 0.000
Co 4.143 3.714 1.313
Co -0.045 2.177 6.304
Co 2.071 5.170 3.852
Co -0.042 4.419 7.548
Co 2.067 0.684 3.852
Co 4.180 1.434 7.548
Co 2.119 5.145 1.313
Co 2.067 0.684 6.304
Co -0.005 2.140 1.313
Co 2.071 5.170 6.304
Co -0.005 2.140 8.844
Co 4.143 3.714 8.844
Co 2.119 5.145 8.844
Sb 4.136 1.465 0.000
Sb 2.069 2.927 2.563
Sb 2.069 2.927 7.593
Sb 0.002 4.388 0.000
Mo 0.000 0.000 2.547
Mo -0.032 4.412 5.078
Mo 4.170 1.441 5.078
Mo 0.000 0.000 7.609
```

Output
- Fermi-level density of states: 29.9 states/eV/cell
- Mass density: 10.28 g/cm3
- E: -7.87 eV per atom
- Formation energy without anion corrections: -26 meV/atom